Entry 1:
This record from the Alexandria database describes crystalline Mg2Ag3 at its relaxed geometry. The functional is PBEsol. Values from VASP.

Values from the calculation:
energy of formation from the pure elements: -0.206 eV per atom
magnetization: 0.00 μB per atom
DOS(E_F): 1.33 states/eV/f.u.
ΔE to the lowest computed polymorph: 0.0 kJ per mole of atoms
calculated density: 7.10 Mg/m³
space-group type: I4/mmm (139)

Cell and atoms, written as Quantum ESPRESSO input:
```
&SYSTEM
  ibrav = 0, nat = 5, ntyp = 2
/
ATOMIC_SPECIES
Mg 24.30 Mg.upf
Ag 107.87 Ag.upf
CELL_PARAMETERS angstrom
-0.7747 -0.2759 -3.2489
-0.5266 -3.2850 0.4045
-6.7942 3.1778 3.0787
ATOMIC_POSITIONS crystal
Mg 0.8965 0.8965 0.7929
Mg 0.1035 0.1035 0.2071
Ag 0.7002 0.7002 0.4005
Ag 0.5000 0.5000 0.0000
Ag 0.2998 0.2998 0.5995
```

=====

Entry 2:
This record from the Alexandria database describes crystalline Zr2RhCl at its relaxed geometry. The functional is PBEsol. Values from VASP.

Values from the calculation:
formation energy from raw total energies: -0.549 eV/atom
magnetization: 0.00 μB per atom
DOS(E_F): 3.45 states/eV/f.u.
ΔE to the lowest computed polymorph: 16.0 kJ per mole of atoms
calculated density: 7.68 Mg/m³
space-group type: Pmmm (47)

Cell and atoms, written as Quantum ESPRESSO input:
```
&SYSTEM
  ibrav = 0, nat = 4, ntyp = 3
/
ATOMIC_SPECIES
Zr 91.22 Zr.upf
Rh 102.91 Rh.upf
Cl 35.45 Cl.upf
CELL_PARAMETERS angstrom
-2.6136 0.6086 -1.5184
1.9298 -1.0919 -3.7594
-1.5112 -4.8850 0.6431
ATOMIC_POSITIONS crystal
Zr 0.0000 0.0000 0.0000
Zr 0.0000 0.5000 0.5000
Rh 0.5000 0.0000 0.5000
Cl 0.5000 0.5000 0.0000
```

=====

Entry 3:
This record from the Alexandria database describes crystalline TaBeHg4 at its relaxed geometry. The functional is PBEsol. Values from VASP.

Values from the calculation:
energy of formation from the pure elements: 1.002 eV per atom
magnetization: 0.35 μB per atom
DOS(E_F): 5.94 states/eV/f.u.
calculated density: 13.42 Mg/m³
space-group type: F-43m (216)

Cell and atoms, written as Quantum ESPRESSO input:
```
&SYSTEM
  ibrav = 0, nat = 6, ntyp = 3
/
ATOMIC_SPECIES
Hg 200.59 Hg.upf
Ta 180.95 Ta.upf
Be 9.01 Be.upf
CELL_PARAMETERS angstrom
-1.9334 -3.8691 -3.5247
0.4079 -5.4108 1.2995
-4.5807 -2.9117 1.2927
ATOMIC_POSITIONS crystal
Hg 0.3752 0.8745 0.3752
Hg 0.3752 0.3752 0.8745
Hg 0.8745 0.3752 0.3752
Hg 0.3752 0.3752 0.3752
Ta 0.7500 0.7500 0.7500
Be 0.0000 0.0000 0.0000
```

=====

Entry 4:
This record from the Alexandria database describes crystalline CaAgC2 at its relaxed geometry. The functional is PBEsol. Values from VASP.

Values from the calculation:
energy of formation from the pure elements: 1.555 eV per atom
magnetization: 0.00 μB per atom
DOS(E_F): 1.96 states/eV/f.u.
calculated density: 5.61 Mg/m³
space-group type: Fm-3m (225)

Cell and atoms, written as Quantum ESPRESSO input:
```
&SYSTEM
  ibrav = 0, nat = 4, ntyp = 3
/
ATOMIC_SPECIES
Ag 107.87 Ag.upf
C 12.01 C.upf
Ca 40.08 Ca.upf
CELL_PARAMETERS angstrom
4.1592 0.0000 0.0000
2.0796 3.6020 0.0000
2.0796 1.2007 3.3960
ATOMIC_POSITIONS crystal
Ag 0.5000 0.5000 0.5000
C 0.7500 0.7500 0.7500
C 0.2500 0.2500 0.2500
Ca 0.0000 0.0000 0.0000
```

=====

Entry 5:
This record from the Alexandria database describes crystalline Zn2FeRh at its relaxed geometry. The functional is PBEsol. Values from VASP.

Values from the calculation:
energy of formation from the pure elements: -0.108 eV per atom
magnetization: 0.58 μB per atom
DOS(E_F): 3.88 states/eV/f.u.
calculated density: 9.51 Mg/m³
space-group type: Cmmm (65)

Cell and atoms, written as Quantum ESPRESSO input:
```
&SYSTEM
  ibrav = 0, nat = 4, ntyp = 3
/
ATOMIC_SPECIES
Zn 65.41 Zn.upf
Fe 55.84 Fe.upf
Rh 102.91 Rh.upf
CELL_PARAMETERS angstrom
-2.7486 -0.1944 1.0468
-1.3437 -1.1592 -3.7434
0.6619 -3.9649 1.0017
ATOMIC_POSITIONS crystal
Zn 0.0000 0.0000 0.5000
Zn 0.0000 0.5000 0.0000
Fe 0.5000 0.0000 0.0000
Rh 0.5000 0.5000 0.5000
```

=====

Entry 6:
This record from the Alexandria database describes crystalline GaSnMo3 at its relaxed geometry. The functional is PBEsol. Values from VASP.

Values from the calculation:
energy of formation from the pure elements: 2.264 eV per atom
magnetization: 0.00 μB per atom
DOS(E_F): 5.58 states/eV/f.u.
calculated density: 7.03 Mg/m³
space-group type: Pm-3m (221)

Cell and atoms, written as Quantum ESPRESSO input:
```
&SYSTEM
  ibrav = 0, nat = 5, ntyp = 3
/
ATOMIC_SPECIES
Mo 95.94 Mo.upf
Ga 69.72 Ga.upf
Sn 118.71 Sn.upf
CELL_PARAMETERS angstrom
-3.8695 2.7333 -0.9330
-2.1871 -1.7546 3.9309
1.8862 3.5728 2.6442
ATOMIC_POSITIONS crystal
Mo 0.5000 0.0000 0.0000
Mo 0.0000 0.0000 0.5000
Mo 0.0000 0.5000 0.0000
Ga 0.5000 0.5000 0.5000
Sn 0.0000 0.0000 0.0000
```

=====

Entry 7:
This record from the Alexandria database describes crystalline Ca2AgP at its relaxed geometry. The functional is PBEsol. Values from VASP.

Values from the calculation:
energy of formation from the pure elements: -0.631 eV per atom
magnetization: 0.00 μB per atom
DOS(E_F): 0.23 states/eV/f.u.
calculated density: 3.41 Mg/m³
space-group type: R-3m (166)

Cell and atoms, written as Quantum ESPRESSO input:
```
&SYSTEM
  ibrav = 0, nat = 4, ntyp = 3
/
ATOMIC_SPECIES
P 30.97 P.upf
Ca 40.08 Ca.upf
Ag 107.87 Ag.upf
CELL_PARAMETERS angstrom
-2.4586 0.0571 3.4216
-1.8921 -3.5357 1.2941
4.0383 -2.6441 5.5404
ATOMIC_POSITIONS crystal
P 0.0000 0.0000 0.0000
Ca 0.7346 0.7346 0.7961
Ca 0.2654 0.2654 0.2039
Ag 0.5000 0.5000 0.5000
```

=====

Entry 8:
This record from the Alexandria database describes crystalline CaTiBiO5 at its relaxed geometry. The functional is PBEsol. Values from VASP.

Values from the calculation:
formation energy from raw total energies: -2.315 eV/atom
magnetization: 0.00 μB per atom
calculated density: 5.10 Mg/m³
space-group type: P-1 (2)

Cell and atoms, written as Quantum ESPRESSO input:
```
&SYSTEM
  ibrav = 0, nat = 32, ntyp = 4
/
ATOMIC_SPECIES
Ti 47.87 Ti.upf
O 16.00 O.upf
Bi 208.98 Bi.upf
Ca 40.08 Ca.upf
CELL_PARAMETERS angstrom
5.7041 0.1346 0.3417
-2.3877 7.9515 -0.5499
0.6211 -0.5069 10.8074
ATOMIC_POSITIONS crystal
Ti 0.8926 0.0643 0.6187
Ti 0.1074 0.9357 0.3813
Ti 0.8539 0.5268 0.8692
Ti 0.1461 0.4732 0.1308
O 0.1676 0.1352 0.4876
O 0.7506 0.6753 0.9935
O 0.2294 0.9804 0.9499
O 0.8363 0.8175 0.2755
O 0.7706 0.0196 0.0501
O 0.2397 0.0329 0.2255
O 0.7881 0.3128 0.9242
O 0.1637 0.1825 0.7245
O 0.1514 0.6060 0.7991
O 0.7603 0.9671 0.7745
O 0.7312 0.1978 0.5749
O 0.2119 0.6872 0.0758
O 0.6796 0.5556 0.7490
O 0.2494 0.3247 0.0065
O 0.2272 0.4916 0.5214
O 0.2688 0.8022 0.4251
O 0.3204 0.4444 0.2510
O 0.7728 0.5084 0.4786
O 0.8324 0.8648 0.5124
O 0.8486 0.3940 0.2009
Bi 0.9765 0.3250 0.3973
Bi 0.0235 0.6750 0.6027
Bi 0.9963 0.8647 0.0997
Bi 0.0037 0.1353 0.9003
Ca 0.5178 0.2264 0.1081
Ca 0.4822 0.7736 0.8919
Ca 0.4518 0.3549 0.6137
Ca 0.5482 0.6451 0.3863
```

=====

Entry 9:
This record from the Alexandria database describes crystalline Ba2TaCoSe at its relaxed geometry. The functional is PBEsol. Values from VASP.

Values from the calculation:
formation energy from raw total energies: 0.717 eV/atom
magnetization: 0.78 μB per atom
DOS(E_F): 11.17 states/eV/f.u.
calculated density: 5.49 Mg/m³
space-group type: P4/mmm (123)

Cell and atoms, written as Quantum ESPRESSO input:
```
&SYSTEM
  ibrav = 0, nat = 5, ntyp = 4
/
ATOMIC_SPECIES
Ba 137.33 Ba.upf
Se 78.96 Se.upf
Ta 180.95 Ta.upf
Co 58.93 Co.upf
CELL_PARAMETERS angstrom
4.7660 0.0000 0.0000
0.0000 6.1365 0.0000
0.0000 0.0000 6.1365
ATOMIC_POSITIONS crystal
Ba 0.0000 0.0000 0.5000
Ba 0.0000 0.5000 0.0000
Se 0.0000 0.0000 0.0000
Ta 0.5000 0.0000 0.0000
Co 0.5000 0.5000 0.5000
```

=====

Entry 10:
This record from the Alexandria database describes crystalline Na3MoH at its relaxed geometry. The functional is PBEsol. Values from VASP.

Values from the calculation:
magnetization: 1.03 μB per atom
DOS(E_F): 3.35 states/eV/f.u.
calculated density: 2.43 Mg/m³
space-group type: Pm-3m (221)

Cell and atoms, written as Quantum ESPRESSO input:
```
&SYSTEM
  ibrav = 0, nat = 5, ntyp = 3
/
ATOMIC_SPECIES
H 1.01 H.upf
Na 22.99 Na.upf
Mo 95.94 Mo.upf
CELL_PARAMETERS angstrom
-0.4498 2.3507 4.2065
3.2222 -2.9946 2.0180
3.5830 2.9881 -1.2867
ATOMIC_POSITIONS crystal
H 0.0000 0.0000 0.0000
Na 0.5000 0.0000 0.0000
Na 0.0000 0.0000 0.5000
Na 0.0000 0.5000 0.0000
Mo 0.5000 0.5000 0.5000
```

=====

Entry 11:
This record from the Alexandria database describes crystalline CaMg2Ag at its relaxed geometry. The functional is PBEsol. Values from VASP.

Values from the calculation:
energy of formation from the pure elements: -0.066 eV per atom
magnetization: 0.00 μB per atom
DOS(E_F): 2.47 states/eV/f.u.
calculated density: 3.37 Mg/m³
space-group type: P2/m (10)

Cell and atoms, written as Quantum ESPRESSO input:
```
&SYSTEM
  ibrav = 0, nat = 4, ntyp = 3
/
ATOMIC_SPECIES
Mg 24.30 Mg.upf
Ca 40.08 Ca.upf
Ag 107.87 Ag.upf
CELL_PARAMETERS angstrom
-2.5416 -0.0080 2.4277
-0.7778 -4.7223 -0.8297
4.7307 -1.3246 3.1042
ATOMIC_POSITIONS crystal
Mg 0.3516 0.0000 0.2193
Mg 0.6484 0.0000 0.7807
Ca 0.0000 0.5000 0.5000
Ag 0.5000 0.5000 0.0000
```

=====

Entry 12:
This record from the Alexandria database describes crystalline MoI2NF at its relaxed geometry. The functional is PBEsol. Values from VASP.

Values from the calculation:
formation energy from raw total energies: -0.011 eV/atom
magnetization: 0.00 μB per atom
DOS(E_F): 3.65 states/eV/f.u.
calculated density: 5.95 Mg/m³
space-group type: P4/mmm (123)

Cell and atoms, written as Quantum ESPRESSO input:
```
&SYSTEM
  ibrav = 0, nat = 5, ntyp = 4
/
ATOMIC_SPECIES
Mo 95.94 Mo.upf
I 126.90 I.upf
F 19.00 F.upf
N 14.01 N.upf
CELL_PARAMETERS angstrom
-1.9747 -2.5951 -1.8264
2.4146 -3.8326 2.8349
-3.8412 0.3178 3.7014
ATOMIC_POSITIONS crystal
Mo 0.0000 0.0000 0.0000
I 0.0000 0.0000 0.5000
I 0.0000 0.5000 0.0000
F 0.5000 0.5000 0.5000
N 0.5000 0.0000 0.0000
```

=====

no.,total energy (eV for the cell shown)
1,-14.40
2,-30.52
3,-12.81
4,-18.51
5,-20.70
6,-31.58
7,-15.89
8,-238.02
9,-24.85
10,-14.25
11,-9.14
12,-25.81